Entry 1:
First-principles (GGA-PBE) data for a geometry-optimized ScCd7Ag3 structure, as listed in Alexandria via LeMat-Bulk.

## Properties
ΔE_f in eV/atom: 0.10
Total magnetization in μB per formula unit: 0.3
DOS(E_F) in states/eV/atom: 0.526
Total energy in eV per atom: -1.8391
Calculated volume in Å³/atom: 22.88

Unit cell a=5.6817 b=7.6491 c=7.6491 alpha=81.76 beta=119.14 gamma=119.14
Atoms (fractional coordinates):
Sc 0.5000 0.5000 0.5000
Cd 0.3376 0.1964 0.1964
Cd 0.3224 0.0572 0.5883
Cd 0.6776 0.4117 0.9428
Cd 0.3224 0.5883 0.0572
Cd 0.0000 0.5000 0.5000
Cd 0.6776 0.9428 0.4117
Cd 0.6624 0.8036 0.8036
Ag 0.0000 0.7770 0.2230
Ag 0.5000 0.0000 0.0000
Ag 0.0000 0.2230 0.7770

Entry 2:
First-principles (GGA-PBE) data for a geometry-optimized Zn4Ag2Au9 structure, as listed in Alexandria via LeMat-Bulk.

## Properties
ΔE_f in eV/atom: -0.08
Total magnetization in μB per formula unit: 0.0
DOS(E_F) in states/eV/atom: 0.376
Total energy in eV per atom: -2.7709
Calculated volume in Å³/atom: 17.46

Unit cell a=4.5258 b=4.5258 c=14.7623 alpha=90.00 beta=90.00 gamma=120.00
Atoms (fractional coordinates):
Zn 0.3333 0.6667 0.3752
Zn 0.6667 0.3333 0.6248
Zn 0.6667 0.3333 0.8463
Zn 0.3333 0.6667 0.1537
Ag 0.3333 0.6667 0.7739
Ag 0.6667 0.3333 0.2261
Au 0.0000 0.0000 0.3103
Au 0.0000 0.0000 0.6897
Au 0.0000 0.0000 0.8833
Au 0.0000 0.0000 0.1167
Au 0.3333 0.6667 0.5799
Au 0.6667 0.3333 0.4201
Au 0.6667 0.3333 0.0343
Au 0.3333 0.6667 0.9657
Au 0.0000 0.0000 0.5000

- calculated volume of number 1 (ScCd7Ag3)?
  22.88 Å³/atom